No. 1
# ZnAg2Br GGA-PBE optimized geometry
# DFT total energy (eV per atom): -2.140
# Volume (Å³/atom): 20.31
# Space-group type: P4/mmm, No. 123
data_ZnAg2Br
_chemical_formula_sum 'Zn1 Ag2 Br1'
_cell_length_a 3.495
_cell_length_b 3.495
_cell_length_c 6.649
_cell_angle_alpha 90.00
_cell_angle_beta 90.00
_cell_angle_gamma 90.00
_symmetry_space_group_name_H-M 'P 1'
_symmetry_Int_Tables_number 1
_symmetry_space_group_name_Hall 'P 1'
loop_
_atom_site_label
_atom_site_fract_x
_atom_site_fract_y
_atom_site_fract_z
Zn1 0.000 0.000 0.000
Ag1 0.500 0.500 0.206
Ag2 0.500 0.500 0.794
Br1 0.000 0.000 0.500

No. 2
# ZnAgBr4 GGA-PBE optimized geometry
# DFT total energy (eV per atom): -1.205
# Volume (Å³/atom): 29.89
# Space-group type: F-43m, No. 216
data_ZnAgBr4
_chemical_formula_sum 'Zn1 Ag1 Br4'
_cell_length_a 6.330
_cell_length_b 6.330
_cell_length_c 6.330
_cell_angle_alpha 60.00
_cell_angle_beta 60.00
_cell_angle_gamma 60.00
_symmetry_space_group_name_H-M 'P 1'
_symmetry_Int_Tables_number 1
_symmetry_space_group_name_Hall 'P 1'
loop_
_atom_site_label
_atom_site_fract_x
_atom_site_fract_y
_atom_site_fract_z
Zn1 0.000 0.000 0.000
Ag1 0.750 0.750 0.750
Br1 0.375 0.375 0.375
Br2 0.375 0.375 0.876
Br3 0.375 0.876 0.375
Br4 0.876 0.375 0.375

No. 3
# Zn2AgBr GGA-PBE optimized geometry
# DFT total energy (eV per atom): -1.582
# Volume (Å³/atom): 20.06
# Space-group type: P4/mmm, No. 123
data_Zn2AgBr
_chemical_formula_sum 'Zn2 Ag1 Br1'
_cell_length_a 5.050
_cell_length_b 5.050
_cell_length_c 3.147
_cell_angle_alpha 90.00
_cell_angle_beta 90.00
_cell_angle_gamma 90.00
_symmetry_space_group_name_H-M 'P 1'
_symmetry_Int_Tables_number 1
_symmetry_space_group_name_Hall 'P 1'
loop_
_atom_site_label
_atom_site_fract_x
_atom_site_fract_y
_atom_site_fract_z
Zn1 0.000 0.500 0.000
Zn2 0.500 0.000 0.000
Ag1 0.000 0.000 0.500
Br1 0.500 0.500 0.500

Listing energy above the most stable polymorph in this dataset for the structures above in their given order: 64 1093 244 meV per atom.